DFT (PBE) results for a relaxed Pu2GaGePt6 crystal.

abc: 5.5672 5.5672 8.4551
angles: 109.17 109.17 60.04
Last column: nearest neighbours and their distance in Å.
Element x y z (fractional)
Pu 0.1988 0.1988 0.0967  9 Pt 3.04-3.19, 3 Ga 3.30
Pu 0.8012 0.8012 0.9033  9 Pt 3.04-3.19, 3 Ga 3.30
Ga 0.5000 0.5000 0.0000  6 Pt 2.55
Ge 0.0000 0.0000 0.5000  6 Pt 2.51
Pt 0.2493 0.2493 0.7462  1 Ge 2.51, 1 Ga 2.55, 4 Pt 2.77-2.80
Pt 0.2497 0.7468 0.7460  1 Ge 2.51, 1 Ga 2.55, 4 Pt 2.77-2.80
Pt 0.2532 0.7503 0.2540  1 Ge 2.51, 1 Ga 2.55, 4 Pt 2.77-2.80
Pt 0.7468 0.2497 0.7460  1 Ge 2.51, 1 Ga 2.55, 4 Pt 2.77-2.80
Pt 0.7503 0.2532 0.2540  1 Ge 2.51, 1 Ga 2.55, 4 Pt 2.77-2.80
Pt 0.7507 0.7507 0.2538  1 Ge 2.51, 1 Ga 2.55, 4 Pt 2.77-2.80

Summary:
Its total magnetic moment is 1.043 μB per atom. The calculation puts the total DFT energy (no corrections) at -7.847 eV/atom.

=====

DFT (PBE) results for a relaxed Sm3Ga2GePt9 crystal.

abc: 6.6035 6.6035 8.6742
angles: 90.00 90.00 120.00
Last column: nearest neighbours and their distance in Å.
Element x y z (fractional)
Sm 0.0000 0.0000 0.0000  6 Pt 2.91
Sm 0.3333 0.6667 0.7281  9 Pt 3.03-3.32
Sm 0.6667 0.3333 0.2719  9 Pt 3.03-3.32
Ga 0.3333 0.6667 0.1911  6 Pt 2.36-2.53
Ga 0.6667 0.3333 0.8089  6 Pt 2.36-2.53
Ge 0.0000 0.0000 0.5000  6 Pt 2.47
Pt 0.0000 0.5000 0.0000  2 Ga 2.53
Pt 0.1384 0.2769 0.2811  1 Ga 2.36, 1 Ge 2.47
Pt 0.1384 0.8616 0.2811  1 Ga 2.36, 1 Ge 2.47
Pt 0.2769 0.1384 0.7189  1 Ga 2.36, 1 Ge 2.47
Pt 0.5000 0.0000 0.0000  2 Ga 2.53
Pt 0.5000 0.5000 0.0000  2 Ga 2.53
Pt 0.7231 0.8616 0.2811  1 Ga 2.36, 1 Ge 2.47
Pt 0.8616 0.1384 0.7189  1 Ga 2.36, 1 Ge 2.47
Pt 0.8616 0.7231 0.7189  1 Ga 2.36, 1 Ge 2.47

Summary:
Its total magnetic moment is 0.000 μB per atom. The calculation puts the total DFT energy (no corrections) at -5.873 eV/atom.

=====

DFT (PBE) results for a relaxed Sm2Ga4GePt3 crystal.

abc: 4.3321 4.3321 10.3593
angles: 90.00 90.00 90.00
Last column: nearest neighbours and their distance in Å.
Element x y z (fractional)
Sm 0.0000 0.5000 0.2467  8 Ga 3.29-3.35, 6 Pt 3.30-3.40, 2 Ge 3.40
Sm 0.5000 0.0000 0.7533  8 Ga 3.29-3.35, 6 Pt 3.30-3.40, 2 Ge 3.40
Ga 0.0000 0.0000 0.0000  4 Pt 2.54
Ga 0.0000 0.5000 0.6379  3 Pt 2.43-2.59, 2 Ge 2.59
Ga 0.5000 0.0000 0.3621  3 Pt 2.43-2.59, 2 Ge 2.59
Ga 0.5000 0.5000 0.0000  4 Pt 2.54
Ge 0.0000 0.0000 0.5000  4 Ga 2.59
Pt 0.0000 0.5000 0.8727  5 Ga 2.43-2.54
Pt 0.5000 0.0000 0.1273  5 Ga 2.43-2.54
Pt 0.5000 0.5000 0.5000  4 Ga 2.59

Summary:
Its total magnetic moment is 0.000 μB per atom. The calculation puts the total DFT energy (no corrections) at -5.275 eV/atom.

=====

DFT (PBE) results for a relaxed Sm3GaGe2Pt9 crystal.

abc: 6.4741 6.4741 9.1170
angles: 90.00 90.00 120.00
Last column: nearest neighbours and their distance in Å.
Element x y z (fractional)
Sm 0.0000 0.0000 0.0000  12 Pt 3.00-3.24
Sm 0.3333 0.6667 0.7302  9 Pt 3.09-3.25
Sm 0.6667 0.3333 0.2698  9 Pt 3.09-3.25
Ga 0.0000 0.0000 0.5000  6 Pt 2.53
Ge 0.3333 0.6667 0.1874  6 Pt 2.34-2.53
Ge 0.6667 0.3333 0.8126  6 Pt 2.34-2.53
Pt 0.0000 0.5000 0.0000  2 Ge 2.53
Pt 0.1387 0.2774 0.2814  1 Ge 2.34, 1 Ga 2.53
Pt 0.1387 0.8613 0.2814  1 Ge 2.34, 1 Ga 2.53
Pt 0.2774 0.1387 0.7186  1 Ge 2.34, 1 Ga 2.53
Pt 0.5000 0.0000 0.0000  2 Ge 2.53
Pt 0.5000 0.5000 0.0000  2 Ge 2.53
Pt 0.7226 0.8613 0.2814  1 Ge 2.34, 1 Ga 2.53
Pt 0.8613 0.1387 0.7186  1 Ge 2.34, 1 Ga 2.53
Pt 0.8613 0.7226 0.7186  1 Ge 2.34, 1 Ga 2.53

Summary:
Its total magnetic moment is 0.000 μB per atom. The calculation puts the total DFT energy (no corrections) at -6.010 eV/atom.

=====

DFT (PBE) results for a relaxed Sm2GaGePt6 crystal.

abc: 5.4852 6.5660 6.7092
angles: 80.78 65.90 65.40
Last column: nearest neighbours and their distance in Å.
Element x y z (fractional)
Sm 0.0330 0.2205 0.2110  7 Pt 3.05-3.27
Sm 0.9670 0.7795 0.7890  7 Pt 3.05-3.27
Ga 0.5000 0.5000 0.0000  6 Pt 2.52-2.54
Ge 0.5000 0.0000 0.5000  6 Pt 2.48-2.52
Pt 0.0012 0.2360 0.7603  1 Ge 2.52, 1 Ga 2.54, 4 Pt 2.74-2.79
Pt 0.3490 0.4012 0.3991  1 Ge 2.48, 1 Ga 2.52, 2 Pt 2.75
Pt 0.4981 0.7641 0.2394  1 Ge 2.52, 1 Ga 2.54, 4 Pt 2.74-2.80
Pt 0.5019 0.2359 0.7606  1 Ge 2.52, 1 Ga 2.54, 4 Pt 2.74-2.80
Pt 0.6510 0.5988 0.6009  1 Ge 2.48, 1 Ga 2.52, 2 Pt 2.75
Pt 0.9988 0.7640 0.2397  1 Ge 2.52, 1 Ga 2.54, 4 Pt 2.74-2.79

Summary:
Its total magnetic moment is 0.000 μB per atom. The calculation puts the total DFT energy (no corrections) at -6.149 eV/atom.

=====

DFT (PBE) results for a relaxed Sm2Ga4Ge2Pt crystal.

abc: 6.4196 6.4196 6.4196
angles: 122.39 122.39 85.91
Last column: nearest neighbours and their distance in Å.
Element x y z (fractional)
Sm 0.2500 0.7500 0.5000  4 Ge 3.10, 8 Ga 3.23
Sm 0.7500 0.2500 0.5000  4 Ge 3.10, 8 Ga 3.23
Ga 0.2121 0.2121 0.4241  1 Pt 2.52, 2 Ga 2.62, 2 Ge 2.80
Ga 0.2121 0.7879 0.0000  1 Pt 2.52, 2 Ga 2.62, 2 Ge 2.80
Ga 0.7879 0.2121 0.0000  1 Pt 2.52, 2 Ga 2.62, 2 Ge 2.80
Ga 0.7879 0.7879 0.5759  1 Pt 2.52, 2 Ga 2.62, 2 Ge 2.80
Ge 0.2228 0.2228 0.0000  1 Pt 2.60, 4 Ga 2.80
Ge 0.7772 0.7772 0.0000  1 Pt 2.60, 4 Ga 2.80
Pt 0.5000 0.5000 0.0000  4 Ga 2.52, 2 Ge 2.60

Summary:
Its total magnetic moment is 0.000 μB per atom. The calculation puts the total DFT energy (no corrections) at -4.682 eV/atom.

=====

DFT (PBE) results for a relaxed Sm2GaGe4Pt3 crystal.

abc: 4.2608 4.2608 10.6261
angles: 90.00 90.00 90.00
Last column: nearest neighbours and their distance in Å.
Element x y z (fractional)
Sm 0.0000 0.5000 0.2496  8 Ge 3.23-3.40, 6 Pt 3.27-3.41, 2 Ga 3.41
Sm 0.5000 0.0000 0.7504  8 Ge 3.23-3.40, 6 Pt 3.27-3.41, 2 Ga 3.41
Ga 0.0000 0.0000 0.5000  4 Ge 2.60
Ge 0.0000 0.0000 0.0000  4 Pt 2.54
Ge 0.0000 0.5000 0.6409  3 Pt 2.44-2.60, 2 Ga 2.60
Ge 0.5000 0.0000 0.3591  3 Pt 2.44-2.60, 2 Ga 2.60
Ge 0.5000 0.5000 0.0000  4 Pt 2.54
Pt 0.0000 0.5000 0.8707  5 Ge 2.44-2.54
Pt 0.5000 0.0000 0.1293  5 Ge 2.44-2.54
Pt 0.5000 0.5000 0.5000  4 Ge 2.60

Summary:
Its total magnetic moment is 0.000 μB per atom. The calculation puts the total DFT energy (no corrections) at -5.730 eV/atom.

=====

DFT (PBE) results for a relaxed SrGaGe2Pt crystal.

abc: 6.1740 6.1740 6.1740
angles: 138.03 138.03 60.85
Last column: nearest neighbours and their distance in Å.
Element x y z (fractional)
Sr 0.0000 0.0000 0.0000  8 Ge 3.38, 4 Pt 3.46, 4 Ga 3.46
Ga 0.7500 0.2500 0.5000  4 Ge 2.60
Ge 0.3784 0.3784 0.0000  1 Ge 2.59, 2 Pt 2.60, 2 Ga 2.60
Ge 0.6216 0.6216 0.0000  1 Ge 2.59, 2 Pt 2.60, 2 Ga 2.60
Pt 0.2500 0.7500 0.5000  4 Ge 2.60

Summary:
Its total magnetic moment is 0.000 μB per atom. The calculation puts the total DFT energy (no corrections) at -4.557 eV/atom.

=====

DFT (PBE) results for a relaxed Sr2Ga4GePt3 crystal.

abc: 4.4277 4.4277 10.5415
angles: 90.00 90.00 90.00
Last column: nearest neighbours and their distance in Å.
Element x y z (fractional)
Sr 0.0000 0.5000 0.2479  8 Ga 3.35-3.46, 6 Pt 3.40-3.43, 2 Ge 3.43
Sr 0.5000 0.0000 0.7521  8 Ga 3.35-3.46, 6 Pt 3.40-3.43, 2 Ge 3.43
Ga 0.0000 0.0000 0.5000  4 Pt 2.58
Ga 0.0000 0.5000 0.8658  3 Pt 2.54-2.63, 2 Ge 2.63
Ga 0.5000 0.0000 0.1342  3 Pt 2.54-2.63, 2 Ge 2.63
Ga 0.5000 0.5000 0.5000  4 Pt 2.58
Ge 0.5000 0.5000 0.0000  4 Ga 2.63
Pt 0.0000 0.0000 0.0000  4 Ga 2.63
Pt 0.0000 0.5000 0.6253  5 Ga 2.54-2.58
Pt 0.5000 0.0000 0.3747  5 Ga 2.54-2.58

Summary:
Its total magnetic moment is 0.000 μB per atom. The calculation puts the total DFT energy (no corrections) at -4.579 eV/atom.

=====

DFT (PBE) results for a relaxed SrGaGePt3 crystal.

abc: 8.4115 8.4115 5.8076
angles: 90.00 90.00 139.70
Last column: nearest neighbours and their distance in Å.
Element x y z (fractional)
Sr 0.2030 0.7970 0.7500  4 Pt 2.98-3.01
Sr 0.7970 0.2030 0.2500  4 Pt 2.98-3.01
Ga 0.0982 0.9018 0.2500  5 Pt 2.46-2.57
Ga 0.9018 0.0982 0.7500  5 Pt 2.46-2.57
Ge 0.4083 0.5917 0.2500  5 Pt 2.44-2.52
Ge 0.5917 0.4083 0.7500  5 Pt 2.44-2.52
Pt 0.2485 0.2485 0.0000  2 Ge 2.52, 2 Ga 2.57
Pt 0.2485 0.2485 0.5000  2 Ge 2.52, 2 Ga 2.57
Pt 0.2540 0.7460 0.2500  1 Ge 2.44, 1 Ga 2.46
Pt 0.7460 0.2540 0.7500  1 Ge 2.44, 1 Ga 2.46
Pt 0.7515 0.7515 0.0000  2 Ge 2.52, 2 Ga 2.57
Pt 0.7515 0.7515 0.5000  2 Ge 2.52, 2 Ga 2.57

Summary:
Its total magnetic moment is 0.000 μB per atom. The calculation puts the total DFT energy (no corrections) at -5.257 eV/atom.

=====

DFT (PBE) results for a relaxed SrGa2GePt crystal.

abc: 6.2656 6.2656 6.2656
angles: 139.98 138.93 58.69
Last column: nearest neighbours and their distance in Å.
Element x y z (fractional)
Sr 0.0000 0.0000 0.0000  4 Ge 3.33, 8 Ga 3.34-3.53, 4 Pt 3.45-3.53
Ga 0.3797 0.3797 0.0000  2 Pt 2.59, 2 Ga 2.60, 1 Ge 2.61
Ga 0.7526 0.2526 0.5000  2 Ge 2.60, 2 Ga 2.60
Ge 0.6185 0.6185 0.0000  3 Ga 2.60-2.61, 2 Pt 2.61
Pt 0.2471 0.7471 0.5000  2 Ga 2.59, 2 Ge 2.61

Summary:
Its total magnetic moment is 0.000 μB per atom. The calculation puts the total DFT energy (no corrections) at -4.271 eV/atom.

=====

DFT (PBE) results for a relaxed Sr2GaGe3Pt4 crystal.

abc: 4.4163 4.4163 10.3389
angles: 90.00 90.00 90.00
Last column: nearest neighbours and their distance in Å.
Element x y z (fractional)
Sr 0.0000 0.5000 0.2484  8 Pt 3.36-3.41, 6 Ge 3.38-3.39, 2 Ga 3.39
Sr 0.5000 0.0000 0.7516  8 Pt 3.36-3.41, 6 Ge 3.38-3.39, 2 Ga 3.39
Ga 0.5000 0.5000 0.0000  4 Pt 2.57
Ge 0.0000 0.0000 0.0000  4 Pt 2.57
Ge 0.0000 0.5000 0.6274  5 Pt 2.54-2.57
Ge 0.5000 0.0000 0.3726  5 Pt 2.54-2.57
Pt 0.0000 0.0000 0.5000  4 Ge 2.57
Pt 0.0000 0.5000 0.8727  3 Ge 2.54-2.57, 2 Ga 2.57
Pt 0.5000 0.0000 0.1273  3 Ge 2.54-2.57, 2 Ga 2.57
Pt 0.5000 0.5000 0.5000  4 Ge 2.57

Summary:
Its total magnetic moment is 0.000 μB per atom. The calculation puts the total DFT energy (no corrections) at -5.269 eV/atom.

=====

The highest total DFT energy (no corrections) belongs to which entry? SrGa2GePt